1.
# ZrAlZn2, optimized geometry, DFT GGA-PBE
# Density (g/cm³): 5.5
# Energy of formation from the pure elements (meV per atom): 28
# Space group: No. 122
# Spin magnetization (μB/cell): 0.0
# Final energy (eV per atom): -3.682
data_ZrAlZn2
_chemical_formula_sum 'Zr2 Al2 Zn4'
_symmetry_space_group_name_H-M 'P 1'
_symmetry_Int_Tables_number 1
_symmetry_space_group_name_Hall 'P 1'
_cell_length_a 7.269
_cell_length_b 7.269
_cell_length_c 5.866
_cell_angle_alpha 51.71
_cell_angle_beta 51.71
_cell_angle_gamma 90.00
loop_
_atom_site_label
_atom_site_fract_x
_atom_site_fract_y
_atom_site_fract_z
Zr1 0.000 0.000 0.000
Al1 0.500 0.500 0.000
Al2 0.250 0.750 0.500
Zr2 0.750 0.250 0.500
Zn1 0.875 0.846 0.750
Zn2 0.154 0.625 0.250
Zn3 0.596 0.125 0.250
Zn4 0.375 0.404 0.750


2.
# ZrAlZn2, optimized geometry, DFT GGA-PBE
# Density (g/cm³): 6.1
# Energy of formation from the pure elements (meV per atom): -196
# Space group: No. 99
# Spin magnetization (μB/cell): 0.0
# Final energy (eV per atom): -3.906
data_ZrAlZn2
_chemical_formula_sum 'Zr1 Al1 Zn2'
_symmetry_space_group_name_H-M 'P 1'
_symmetry_Int_Tables_number 1
_symmetry_space_group_name_Hall 'P 1'
_cell_length_a 3.102
_cell_length_b 3.105
_cell_length_c 7.067
_cell_angle_alpha 90.00
_cell_angle_beta 90.00
_cell_angle_gamma 90.00
loop_
_atom_site_label
_atom_site_fract_x
_atom_site_fract_y
_atom_site_fract_z
Zr1 0.000 0.000 0.498
Zn1 0.000 0.000 0.007
Al1 0.500 0.500 0.779
Zn2 0.500 0.500 0.216


3.
# ZrAlZn2, optimized geometry, DFT GGA-PBE
# Density (g/cm³): 6.1
# Energy of formation from the pure elements (meV per atom): -392
# Space group: No. 123
# Spin magnetization (μB/cell): 0.0
# Final energy (eV per atom): -4.102
data_ZrAlZn2
_chemical_formula_sum 'Zr1 Al1 Zn2'
_symmetry_space_group_name_H-M 'P 1'
_symmetry_Int_Tables_number 1
_symmetry_space_group_name_Hall 'P 1'
_cell_length_a 4.056
_cell_length_b 4.056
_cell_length_c 4.111
_cell_angle_alpha 90.00
_cell_angle_beta 90.00
_cell_angle_gamma 90.01
loop_
_atom_site_label
_atom_site_fract_x
_atom_site_fract_y
_atom_site_fract_z
Zn1 0.000 0.000 0.000
Zn2 0.500 0.500 0.000
Al1 0.000 0.500 0.500
Zr1 0.500 0.000 0.500


4.
# Zr5AlZn4, optimized geometry, DFT GGA-PBE
# Density (g/cm³): 6.6
# Energy of formation from the pure elements (meV per atom): -292
# Space group: No. 123
# Spin magnetization (μB/cell): 0.0
# Final energy (eV per atom): -5.450
data_Zr5AlZn4
_chemical_formula_sum 'Zr5 Al1 Zn4'
_symmetry_space_group_name_H-M 'P 1'
_symmetry_Int_Tables_number 1
_symmetry_space_group_name_Hall 'P 1'
_cell_length_a 3.262
_cell_length_b 3.262
_cell_length_c 17.709
_cell_angle_alpha 90.00
_cell_angle_beta 90.00
_cell_angle_gamma 90.00
loop_
_atom_site_label
_atom_site_fract_x
_atom_site_fract_y
_atom_site_fract_z
Zn1 0.000 0.000 0.598
Zr1 0.500 0.500 0.895
Zr2 0.500 0.500 0.500
Zn2 0.000 0.000 0.206
Zr3 0.500 0.500 0.304
Zr4 0.500 0.500 0.696
Zn3 0.000 0.000 0.794
Al1 0.000 0.000 0.000
Zn4 0.000 0.000 0.402
Zr5 0.500 0.500 0.105


5.
# ZrAlZn2, optimized geometry, DFT GGA-PBE
# Density (g/cm³): 5.9
# Energy of formation from the pure elements (meV per atom): -124
# Space group: No. 8
# Spin magnetization (μB/cell): 0.0
# Final energy (eV per atom): -3.833
data_ZrAlZn2
_chemical_formula_sum 'Zr1 Al1 Zn2'
_symmetry_space_group_name_H-M 'P 1'
_symmetry_Int_Tables_number 1
_symmetry_space_group_name_Hall 'P 1'
_cell_length_a 5.480
_cell_length_b 5.480
_cell_length_c 4.350
_cell_angle_alpha 66.52
_cell_angle_beta 66.52
_cell_angle_gamma 36.53
loop_
_atom_site_label
_atom_site_fract_x
_atom_site_fract_y
_atom_site_fract_z
Al1 0.256 0.256 0.244
Zn1 0.012 0.012 0.988
Zr1 0.494 0.494 0.506
Zn2 0.738 0.738 0.762


6.
# Zr7Al2Zn2, optimized geometry, DFT GGA-PBE
# Density (g/cm³): 5.6
# Energy of formation from the pure elements (meV per atom): 121
# Space group: No. 65
# Spin magnetization (μB/cell): 0.0
# Final energy (eV per atom): -6.231
data_Zr7Al2Zn2
_chemical_formula_sum 'Zr7 Al2 Zn2'
_symmetry_space_group_name_H-M 'P 1'
_symmetry_Int_Tables_number 1
_symmetry_space_group_name_Hall 'P 1'
_cell_length_a 6.017
_cell_length_b 7.242
_cell_length_c 6.017
_cell_angle_alpha 90.00
_cell_angle_beta 111.38
_cell_angle_gamma 90.00
loop_
_atom_site_label
_atom_site_fract_x
_atom_site_fract_y
_atom_site_fract_z
Zn1 0.830 0.500 0.830
Al1 0.702 0.000 0.298
Zr1 0.500 0.710 0.000
Zr2 0.000 0.290 0.500
Zr3 0.000 0.710 0.500
Zr4 0.000 0.000 0.000
Zr5 0.500 0.290 0.000
Al2 0.298 0.000 0.702
Zr6 0.500 0.723 0.500
Zr7 0.500 0.277 0.500
Zn2 0.170 0.500 0.170


7.
# ZrAlZn2, optimized geometry, DFT GGA-PBE
# Density (g/cm³): 5.8
# Energy of formation from the pure elements (meV per atom): -200
# Space group: No. 25
# Spin magnetization (μB/cell): 0.0
# Final energy (eV per atom): -3.910
data_ZrAlZn2
_chemical_formula_sum 'Zr1 Al1 Zn2'
_symmetry_space_group_name_H-M 'P 1'
_symmetry_Int_Tables_number 1
_symmetry_space_group_name_Hall 'P 1'
_cell_length_a 4.347
_cell_length_b 3.014
_cell_length_c 5.433
_cell_angle_alpha 89.96
_cell_angle_beta 90.00
_cell_angle_gamma 90.00
loop_
_atom_site_label
_atom_site_fract_x
_atom_site_fract_y
_atom_site_fract_z
Zn1 0.500 0.001 0.252
Al1 0.500 0.999 0.744
Zr1 0.000 0.500 0.500
Zn2 0.000 0.000 0.004


8.
# Zr6Al2Zn, optimized geometry, DFT GGA-PBE
# Density (g/cm³): 5.3
# Energy of formation from the pure elements (meV per atom): 119
# Space group: No. 71
# Spin magnetization (μB/cell): 0.0
# Final energy (eV per atom): -6.553
data_Zr6Al2Zn
_chemical_formula_sum 'Zr6 Al2 Zn1'
_symmetry_space_group_name_H-M 'P 1'
_symmetry_Int_Tables_number 1
_symmetry_space_group_name_Hall 'P 1'
_cell_length_a 4.614
_cell_length_b 6.530
_cell_length_c 7.977
_cell_angle_alpha 114.16
_cell_angle_beta 106.78
_cell_angle_gamma 90.00
loop_
_atom_site_label
_atom_site_fract_x
_atom_site_fract_y
_atom_site_fract_z
Al1 0.334 0.333 0.667
Al2 0.666 0.667 0.333
Zn1 0.000 0.000 0.000
Zr1 0.165 0.916 0.331
Zr2 0.835 0.585 0.669
Zr3 0.835 0.084 0.669
Zr4 0.500 0.753 0.000
Zr5 0.165 0.415 0.331
Zr6 0.500 0.247 0.000


9.
# ZrAlZn2, optimized geometry, DFT GGA-PBE
# Density (g/cm³): 6.0
# Energy of formation from the pure elements (meV per atom): -208
# Space group: No. 139
# Spin magnetization (μB/cell): 0.0
# Final energy (eV per atom): -3.918
data_ZrAlZn2
_chemical_formula_sum 'Zr1 Al1 Zn2'
_symmetry_space_group_name_H-M 'P 1'
_symmetry_Int_Tables_number 1
_symmetry_space_group_name_Hall 'P 1'
_cell_length_a 5.052
_cell_length_b 5.052
_cell_length_c 5.052
_cell_angle_alpha 132.44
_cell_angle_beta 132.48
_cell_angle_gamma 69.50
loop_
_atom_site_label
_atom_site_fract_x
_atom_site_fract_y
_atom_site_fract_z
Al1 0.250 0.750 0.500
Zr1 0.750 0.250 0.500
Zn1 0.000 0.000 0.000
Zn2 0.500 0.500 0.000


10.
# Zr12AlZn3, optimized geometry, DFT GGA-PBE
# Density (g/cm³): 6.6
# Energy of formation from the pure elements (meV per atom): -175
# Space group: No. 123
# Spin magnetization (μB/cell): 0.0
# Final energy (eV per atom): -7.059
data_Zr12AlZn3
_chemical_formula_sum 'Zr12 Al1 Zn3'
_symmetry_space_group_name_H-M 'P 1'
_symmetry_Int_Tables_number 1
_symmetry_space_group_name_Hall 'P 1'
_cell_length_a 4.365
_cell_length_b 4.365
_cell_length_c 17.465
_cell_angle_alpha 90.00
_cell_angle_beta 90.00
_cell_angle_gamma 90.00
loop_
_atom_site_label
_atom_site_fract_x
_atom_site_fract_y
_atom_site_fract_z
Zr1 0.000 0.500 0.375
Zr2 0.500 0.500 0.251
Al1 0.000 0.000 0.000
Zr3 0.500 0.000 0.125
Zr4 0.000 0.500 0.125
Zr5 0.500 0.000 0.625
Zn1 0.000 0.000 0.749
Zr6 0.000 0.500 0.875
Zr7 0.000 0.500 0.625
Zn2 0.000 0.000 0.251
Zr8 0.500 0.000 0.375
Zr9 0.500 0.500 0.000
Zr10 0.500 0.000 0.875
Zn3 0.000 0.000 0.500
Zr11 0.500 0.500 0.500
Zr12 0.500 0.500 0.749


11.
# Zr3AlZn, optimized geometry, DFT GGA-PBE
# Density (g/cm³): 6.0
# Energy of formation from the pure elements (meV per atom): -262
# Space group: No. 63
# Spin magnetization (μB/cell): 0.0
# Final energy (eV per atom): -6.394
data_Zr3AlZn
_chemical_formula_sum 'Zr6 Al2 Zn2'
_symmetry_space_group_name_H-M 'P 1'
_symmetry_Int_Tables_number 1
_symmetry_space_group_name_Hall 'P 1'
_cell_length_a 4.746
_cell_length_b 4.749
_cell_length_c 9.274
_cell_angle_alpha 90.00
_cell_angle_beta 75.17
_cell_angle_gamma 90.00
loop_
_atom_site_label
_atom_site_fract_x
_atom_site_fract_y
_atom_site_fract_z
Al1 0.170 0.250 0.309
Zr1 0.880 0.750 0.887
Zr2 0.768 0.250 0.113
Zr3 0.380 0.250 0.888
Zn1 0.977 0.250 0.695
Zr4 0.268 0.750 0.112
Zr5 0.574 0.250 0.500
Zn2 0.672 0.750 0.305
Zr6 0.074 0.750 0.500
Al2 0.478 0.750 0.691


12.
# ZrAlZn2, optimized geometry, DFT GGA-PBE
# Density (g/cm³): 6.1
# Energy of formation from the pure elements (meV per atom): -167
# Space group: No. 123
# Spin magnetization (μB/cell): 0.0
# Final energy (eV per atom): -3.876
data_ZrAlZn2
_chemical_formula_sum 'Zr1 Al1 Zn2'
_symmetry_space_group_name_H-M 'P 1'
_symmetry_Int_Tables_number 1
_symmetry_space_group_name_Hall 'P 1'
_cell_length_a 3.138
_cell_length_b 3.135
_cell_length_c 6.915
_cell_angle_alpha 90.00
_cell_angle_beta 90.00
_cell_angle_gamma 90.00
loop_
_atom_site_label
_atom_site_fract_x
_atom_site_fract_y
_atom_site_fract_z
Zr1 0.500 0.500 0.250
Al1 0.500 0.500 0.750
Zn1 0.000 0.000 0.529
Zn2 0.000 0.000 0.971